A relaxed structure of LaNd2Ni8Pt, computed with GGA-PBE.

Properties
Energy of formation in eV per atom: -0.42
Mass density in g/cm3: 9.64
Magnetization in μB per formula unit: 0.58

Unit cell a=8.911 b=8.911 c=8.911 alpha=33.12 beta=33.12 gamma=33.12
Sites, in units of the cell vectors:
La 0.000 0.000 0.000
Nd 0.137 0.137 0.137
Nd 0.863 0.863 0.863
Ni 0.077 0.580 0.580
Ni 0.333 0.333 0.333
Ni 0.420 0.420 0.923
Ni 0.420 0.923 0.420
Ni 0.580 0.077 0.580
Ni 0.580 0.580 0.077
Ni 0.667 0.667 0.667
Ni 0.923 0.420 0.420
Pt 0.500 0.500 0.500